No. 1
# PPdS3 PBE relaxed
# final energy	-18.394	eV per cell
# space group	Pm-3m (221)
# relative energy among the computed polymorphs	992.7	meV per atom
# raw formation energy	4.6	eV/f.u.
data_PPdS3
_space_group_name_H-M_alt 'P 1'
_space_group_IT_number 1
_space_group_name_Hall 'P 1'
_cell_length_a 4.6449
_cell_length_b 4.6449
_cell_length_c 4.6449
_cell_angle_alpha 90.00
_cell_angle_beta 90.00
_cell_angle_gamma 90.00
loop_
_atom_site_label
_atom_site_type_symbol
_atom_site_fract_x
_atom_site_fract_y
_atom_site_fract_z
_atom_site_occupancy
P1 P 0.5000 0.5000 0.5000 1
S1 S 0.0000 0.5000 0.0000 1
S2 S 0.0000 0.0000 0.5000 1
S3 S 0.5000 0.0000 0.0000 1
Pd1 Pd 0.0000 0.0000 0.0000 1


No. 2
# P2PdS2 PBE relaxed
# final energy	-19.292	eV per cell
# space group	P4/mmm (123)
# relative energy among the computed polymorphs	248.7	meV per atom
# raw formation energy	5.0	eV/f.u.
data_P2PdS2
_space_group_name_H-M_alt 'P 1'
_space_group_IT_number 1
_space_group_name_Hall 'P 1'
_cell_length_a 4.6802
_cell_length_b 4.6802
_cell_length_c 4.5926
_cell_angle_alpha 90.00
_cell_angle_beta 90.00
_cell_angle_gamma 90.00
loop_
_atom_site_label
_atom_site_type_symbol
_atom_site_fract_x
_atom_site_fract_y
_atom_site_fract_z
_atom_site_occupancy
P1 P 0.5000 0.5000 0.5000 1
P2 P 0.0000 0.0000 0.5000 1
S1 S 0.0000 0.5000 0.0000 1
S2 S 0.5000 0.0000 0.0000 1
Pd1 Pd 0.0000 0.0000 0.0000 1